Record 1
## ZnFe3H (PBE)

Data for crystalline ZnFe3H at its relaxed geometry.

- DOS(E_F): 3.251 states/eV/cell
- Density: 7.58 g/cm³
- Energy above the most stable polymorph in this dataset: 156.2 meV/atom
- Total energy: -29.4 eV per formula unit

abc: 4.680 4.680 4.680
angles: 89.93 89.93 89.93
Fractional positions:
Zn  0.000  0.000  0.000
Zn  0.500  0.500  0.500
Fe  0.008  0.750  0.492
Fe  0.250  0.508  0.992
Fe  0.492  0.008  0.750
Fe  0.508  0.992  0.250
Fe  0.750  0.492  0.008
Fe  0.992  0.250  0.508
H  0.250  0.250  0.250
H  0.750  0.750  0.750



Record 2
## ZnFe3H (PBE)

Data for crystalline ZnFe3H at its relaxed geometry.

- DOS(E_F): 11.298 states/eV/cell
- Density: 4.30 g/cm³
- Energy above the most stable polymorph in this dataset: 1812.2 meV/atom
- Total energy: -21.1 eV per formula unit

abc: 4.489 4.489 4.489
angles: 90.00 90.00 90.00
Fractional positions:
Zn  0.000  0.000  0.000
Fe  0.000  0.000  0.500
Fe  0.000  0.500  0.000
Fe  0.500  0.000  0.000
H  0.500  0.500  0.500



Record 3
## ZnFeH2 (PBE)

Data for crystalline ZnFeH2 at its relaxed geometry.

- DOS(E_F): 5.198 states/eV/cell
- Density: 6.63 g/cm³
- Energy above the most stable polymorph in this dataset: 537.1 meV/atom
- Total energy: -13.9 eV per formula unit

abc: 3.520 3.520 3.520
angles: 60.00 60.00 60.00
Fractional positions:
Zn  0.000  0.000  0.000
Fe  0.500  0.500  0.500
H  0.250  0.250  0.250
H  0.750  0.750  0.750



Record 4
## ZnFe3H (PBE)

Data for crystalline ZnFe3H at its relaxed geometry.

- DOS(E_F): 9.186 states/eV/cell
- Density: 5.06 g/cm³
- Energy above the most stable polymorph in this dataset: 946.3 meV/atom
- Total energy: -25.4 eV per formula unit

abc: 9.554 9.554 9.554
angles: 155.17 155.17 35.40
Fractional positions:
Zn  0.000  0.000  0.000
Zn  0.750  0.250  0.500
Fe  0.343  0.343  0.000
Fe  0.372  0.126  0.246
Fe  0.657  0.657  0.000
Fe  0.874  0.120  0.246
Fe  0.874  0.628  0.754
Fe  0.880  0.126  0.754
H  0.136  0.636  0.500
H  0.364  0.864  0.500



Record 5
## ZnFeH2 (PBE)

Data for crystalline ZnFeH2 at its relaxed geometry.

- DOS(E_F): 1.550 states/eV/cell
- Density: 5.71 g/cm³
- Energy above the most stable polymorph in this dataset: 0.0 meV/atom
- Total energy: -16.1 eV per formula unit

abc: 6.407 6.407 6.407
angles: 23.21 23.21 23.21
Fractional positions:
Zn  0.000  0.000  0.000
Fe  0.500  0.500  0.500
H  0.118  0.118  0.118
H  0.882  0.882  0.882



Record 6
## ZnFe3H (PBE)

Data for crystalline ZnFe3H at its relaxed geometry.

- DOS(E_F): 12.644 states/eV/cell
- Density: 6.72 g/cm³
- Energy above the most stable polymorph in this dataset: 240.8 meV/atom
- Total energy: -29.0 eV per formula unit

abc: 6.890 6.890 6.890
angles: 60.00 60.00 60.00
Fractional positions:
Zn  0.000  0.000  0.000
Zn  0.000  0.000  0.500
Zn  0.000  0.500  0.000
Zn  0.500  0.000  0.000
Fe  0.192  0.192  0.558
Fe  0.192  0.558  0.192
Fe  0.192  0.558  0.558
Fe  0.442  0.442  0.808
Fe  0.442  0.808  0.442
Fe  0.442  0.808  0.808
Fe  0.558  0.192  0.192
Fe  0.558  0.192  0.558
Fe  0.558  0.558  0.192
Fe  0.808  0.442  0.442
Fe  0.808  0.442  0.808
Fe  0.808  0.808  0.442
H  0.000  0.500  0.500
H  0.500  0.000  0.500
H  0.500  0.500  0.000
H  0.500  0.500  0.500



Record 7
## ZnFe3H (PBE)

Data for crystalline ZnFe3H at its relaxed geometry.

- DOS(E_F): 5.064 states/eV/cell
- Density: 7.55 g/cm³
- Energy above the most stable polymorph in this dataset: 71.8 meV/atom
- Total energy: -29.8 eV per formula unit

abc: 4.190 4.905 5.851
angles: 107.35 90.02 114.99
Fractional positions:
Zn  0.000  0.000  0.000
Zn  0.254  0.508  0.878
Fe  0.006  0.015  0.499
Fe  0.244  0.493  0.379
Fe  0.504  0.025  0.750
Fe  0.522  0.029  0.256
Fe  0.732  0.483  0.128
Fe  0.746  0.478  0.621
H  0.131  0.755  0.306
H  0.631  0.753  0.569



Record 8
## ZnFe3H (PBE)

Data for crystalline ZnFe3H at its relaxed geometry.

- DOS(E_F): 11.894 states/eV/cell
- Density: 7.71 g/cm³
- Energy above the most stable polymorph in this dataset: 68.8 meV/atom
- Total energy: -29.8 eV per formula unit

abc: 6.897 4.241 9.204
angles: 90.00 131.52 90.00
Fractional positions:
Zn  0.249  0.237  0.299
Zn  0.249  0.263  0.799
Zn  0.751  0.737  0.201
Zn  0.751  0.763  0.701
Fe  0.008  0.244  0.924
Fe  0.008  0.256  0.424
Fe  0.252  0.736  0.457
Fe  0.252  0.764  0.957
Fe  0.490  0.248  0.165
Fe  0.490  0.252  0.665
Fe  0.510  0.748  0.335
Fe  0.510  0.752  0.835
Fe  0.748  0.236  0.043
Fe  0.748  0.264  0.543
Fe  0.992  0.744  0.576
Fe  0.992  0.756  0.076
H  0.249  0.539  0.110
H  0.249  0.961  0.610
H  0.751  0.039  0.390
H  0.751  0.461  0.890



Record 9
## ZnFeH2 (PBE)

Data for crystalline ZnFeH2 at its relaxed geometry.

- DOS(E_F): 1.512 states/eV/cell
- Density: 6.47 g/cm³
- Energy above the most stable polymorph in this dataset: 55.4 meV/atom
- Total energy: -15.8 eV per formula unit

abc: 5.112 5.112 5.112
angles: 31.10 31.10 31.10
Fractional positions:
Zn  0.000  0.000  0.000
Fe  0.179  0.179  0.179
H  0.553  0.553  0.553
H  0.794  0.794  0.794



Record 10
## ZnFe3H (PBE)

Data for crystalline ZnFe3H at its relaxed geometry.

- DOS(E_F): 2.763 states/eV/cell
- Density: 5.42 g/cm³
- Energy above the most stable polymorph in this dataset: 563.7 meV/atom
- Total energy: -27.4 eV per formula unit

abc: 3.368 3.368 6.323
angles: 90.00 90.00 90.00
Fractional positions:
Zn  0.000  0.000  0.000
Fe  0.000  0.000  0.606
Fe  0.000  0.500  0.322
Fe  0.500  0.000  0.322
H  0.500  0.500  0.231



Record 11
## ZnFe3H (PBE)

Data for crystalline ZnFe3H at its relaxed geometry.

- DOS(E_F): 4.220 states/eV/cell
- Density: 7.56 g/cm³
- Energy above the most stable polymorph in this dataset: 68.4 meV/atom
- Total energy: -29.8 eV per formula unit

abc: 4.815 4.815 5.153
angles: 98.47 98.46 116.40
Fractional positions:
Zn  0.248  0.248  0.493
Zn  0.752  0.752  0.507
Fe  0.229  0.229  0.993
Fe  0.238  0.742  0.258
Fe  0.257  0.762  0.743
Fe  0.743  0.238  0.257
Fe  0.762  0.258  0.742
Fe  0.771  0.771  0.007
H  0.374  0.627  0.000
H  0.626  0.373  0.000



Record 12
## ZnFe3H (PBE)

Data for crystalline ZnFe3H at its relaxed geometry.

- DOS(E_F): 15.174 states/eV/cell
- Density: 7.71 g/cm³
- Energy above the most stable polymorph in this dataset: 76.1 meV/atom
- Total energy: -29.8 eV per formula unit

abc: 6.739 6.739 4.520
angles: 90.34 90.34 100.85
Fractional positions:
Zn  0.061  0.191  0.082
Zn  0.191  0.061  0.582
Zn  0.809  0.939  0.418
Zn  0.939  0.809  0.918
Fe  0.065  0.677  0.413
Fe  0.180  0.561  0.913
Fe  0.308  0.430  0.411
Fe  0.323  0.935  0.087
Fe  0.430  0.308  0.911
Fe  0.439  0.820  0.587
Fe  0.561  0.180  0.413
Fe  0.570  0.692  0.089
Fe  0.677  0.065  0.913
Fe  0.692  0.570  0.589
Fe  0.820  0.439  0.087
Fe  0.935  0.323  0.587
H  0.311  0.689  0.250
H  0.435  0.565  0.750
H  0.565  0.435  0.250
H  0.689  0.311  0.750



Record 13
## ZnFe2H (PBE)

Data for crystalline ZnFe2H at its relaxed geometry.

- DOS(E_F): 2.717 states/eV/cell
- Density: 6.89 g/cm³
- Energy above the most stable polymorph in this dataset: 607.4 meV/atom
- Total energy: -19.0 eV per formula unit

abc: 3.931 3.931 3.931
angles: 60.00 60.00 60.00
Fractional positions:
Zn  0.000  0.000  0.000
Fe  0.250  0.250  0.250
Fe  0.750  0.750  0.750
H  0.500  0.500  0.500



Record 14
## ZnFe2H (PBE)

Data for crystalline ZnFe2H at its relaxed geometry.

- DOS(E_F): 3.717 states/eV/cell
- Density: 6.39 g/cm³
- Energy above the most stable polymorph in this dataset: 259.6 meV/atom
- Total energy: -20.4 eV per formula unit

abc: 5.074 5.074 5.074
angles: 119.90 119.90 90.17
Fractional positions:
Zn  0.375  0.625  0.750
Zn  0.625  0.375  0.250
Fe  0.000  0.000  0.000
Fe  0.000  0.000  0.500
Fe  0.000  0.500  0.000
Fe  0.500  0.000  0.500
H  0.125  0.875  0.250
H  0.875  0.125  0.750



Record 15
## ZnFe3H (PBE)

Data for crystalline ZnFe3H at its relaxed geometry.

- DOS(E_F): 5.287 states/eV/cell
- Density: 7.65 g/cm³
- Energy above the most stable polymorph in this dataset: 64.0 meV/atom
- Total energy: -29.9 eV per formula unit

abc: 4.636 4.636 5.127
angles: 90.00 90.00 112.75
Fractional positions:
Zn  0.243  0.757  0.750
Zn  0.757  0.243  0.250
Fe  0.236  0.764  0.250
Fe  0.247  0.247  0.000
Fe  0.247  0.247  0.500
Fe  0.753  0.753  0.000
Fe  0.753  0.753  0.500
Fe  0.764  0.236  0.750
H  0.462  0.538  0.250
H  0.538  0.462  0.750



Record 16
## ZnFe3H (PBE)

Data for crystalline ZnFe3H at its relaxed geometry.

- DOS(E_F): 2.552 states/eV/cell
- Density: 7.00 g/cm³
- Energy above the most stable polymorph in this dataset: 439.9 meV/atom
- Total energy: -28.0 eV per formula unit

abc: 4.473 4.473 4.473
angles: 113.72 113.72 113.72
Fractional positions:
Zn  0.000  0.000  0.000
Fe  0.361  0.361  0.787
Fe  0.361  0.787  0.361
Fe  0.787  0.361  0.361
H  0.507  0.507  0.507



Record 17
## ZnFeH6 (PBE)

Data for crystalline ZnFeH6 at its relaxed geometry.

- Density: 4.24 g/cm³
- Total energy: -28.7 eV per formula unit

abc: 4.684 4.684 4.464
angles: 113.42 113.42 34.02
Fractional positions:
Zn  0.000  0.000  0.000
Fe  0.500  0.500  0.500
H  0.115  0.115  0.660
H  0.325  0.325  0.219
H  0.382  0.382  0.683
H  0.618  0.618  0.317
H  0.675  0.675  0.781
H  0.885  0.885  0.340



Record 18
## ZnFe2H (PBE)

Data for crystalline ZnFe2H at its relaxed geometry.

- DOS(E_F): 2.490 states/eV/cell
- Density: 7.60 g/cm³
- Energy above the most stable polymorph in this dataset: 1.0 meV/atom
- Total energy: -21.4 eV per formula unit

abc: 2.581 2.581 6.639
angles: 100.89 100.89 64.40
Fractional positions:
Zn  0.000  0.000  0.000
Fe  0.536  0.536  0.670
Fe  0.739  0.739  0.329
H  0.138  0.138  0.502



Record 19
## ZnFe3H (PBE)

Data for crystalline ZnFe3H at its relaxed geometry.

- DOS(E_F): 2.358 states/eV/cell
- Density: 7.52 g/cm³
- Energy above the most stable polymorph in this dataset: 68.9 meV/atom
- Total energy: -29.8 eV per formula unit

abc: 2.569 4.650 4.650
angles: 68.31 90.00 90.00
Fractional positions:
Zn  0.000  0.000  0.000
Fe  0.000  0.509  0.509
Fe  0.500  0.509  0.979
Fe  0.500  0.979  0.509
H  0.500  0.369  0.369



Record 20
## ZnFe3H (PBE)

Data for crystalline ZnFe3H at its relaxed geometry.

- DOS(E_F): 17.262 states/eV/cell
- Density: 7.65 g/cm³
- Energy above the most stable polymorph in this dataset: 525.9 meV/atom
- Total energy: -27.5 eV per formula unit

abc: 5.542 5.542 4.876
angles: 94.03 94.03 42.82
Fractional positions:
Zn  0.115  0.115  0.444
Zn  0.885  0.885  0.556
Fe  0.129  0.129  0.942
Fe  0.320  0.320  0.804
Fe  0.461  0.461  0.258
Fe  0.539  0.539  0.742
Fe  0.680  0.680  0.196
Fe  0.871  0.871  0.058
H  0.289  0.289  0.135
H  0.711  0.711  0.865